Material: BTeMo3
Method: DFT, PBE
State: optimized geometry

## Properties
E   -28.30 eV per cell
ΔE_f (raw)   2.80 eV per atom
Excess energy over the best structure of this formula in the dataset   11.85 eV per formula unit

The structure in CIF format:
```
data_BTeMo3
_space_group_name_H-M_alt 'P m -3 m'
_space_group_IT_number 221
_space_group_name_Hall '-P 4 2 3'
_cell_length_a 4.862
_cell_length_b 4.862
_cell_length_c 4.862
_cell_angle_alpha 90.00
_cell_angle_beta 90.00
_cell_angle_gamma 90.00
loop_
_atom_site_label
_atom_site_type_symbol
_atom_site_fract_x
_atom_site_fract_y
_atom_site_fract_z
B1 B 0.000 0.000 0.000
Te1 Te 0.500 0.500 0.500
Mo1 Mo 0.000 0.500 0.500
```